## Sc2AgPb (PBE)

Data for an optimized crystal structure of Sc2AgPb.

```
data_Sc2AgPb
_chemical_formula_sum 'Sc4 Ag2 Pb2'
_cell_length_a 4.596
_cell_length_b 3.472
_cell_length_c 11.483
_cell_angle_alpha 90.00
_cell_angle_beta 90.00
_cell_angle_gamma 90.00
_symmetry_space_group_name_H-M 'A m m 2'
_symmetry_Int_Tables_number 38
loop_
_symmetry_equiv_pos_as_xyz
'x,y,z'
'-x,-y,z'
'-x,y,z'
'x,-y,z'
'x,y+1/2,z+1/2'
'-x,-y+1/2,z+1/2'
'-x,y+1/2,z+1/2'
'x,-y+1/2,z+1/2'
loop_
_atom_site_label
_atom_site_fract_x
_atom_site_fract_y
_atom_site_fract_z
Sc1 0.000 0.000 0.000
Sc2 0.500 0.000 0.323
Ag1 0.500 0.000 0.571
Pb1 0.000 0.000 0.735
```


## PbSCl2 (PBE)

Data for an optimized crystal structure of PbSCl2.

```
data_PbSCl2
_chemical_formula_sum 'Pb4 S4 Cl8'
_cell_length_a 4.656
_cell_length_b 4.656
_cell_length_c 18.852
_cell_angle_alpha 90.00
_cell_angle_beta 90.00
_cell_angle_gamma 90.00
_symmetry_space_group_name_H-M 'I -4 2 d'
_symmetry_Int_Tables_number 122
_symmetry_space_group_name_Hall 'I -4 2bw'
loop_
_atom_site_label
_atom_site_fract_x
_atom_site_fract_y
_atom_site_fract_z
Pb1 0.000 0.000 0.000
S1 0.000 0.000 0.500
Cl1 0.231 0.250 0.625
```

Computed properties:
Formation energy (no corrections) (eV/f.u.): -0.643
Energy above the lowest structure with this stoichiometry (meV per atom): 542


## TcRu2Br (PBE)

Data for an optimized crystal structure of TcRu2Br.

```
data_TcRu2Br
_chemical_formula_sum 'Tc2 Ru4 Br2'
_cell_length_a 4.017
_cell_length_b 4.017
_cell_length_c 7.550
_cell_angle_alpha 90.00
_cell_angle_beta 90.00
_cell_angle_gamma 90.00
_symmetry_space_group_name_H-M 'I 4/m m m'
_symmetry_Int_Tables_number 139
_symmetry_space_group_name_Hall '-I 4 2'
loop_
_atom_site_label
_atom_site_fract_x
_atom_site_fract_y
_atom_site_fract_z
Tc1 0.000 0.000 0.000
Ru1 0.000 0.500 0.250
Br1 0.000 0.000 0.500
```

Computed properties:
Formation energy (no corrections) (eV/f.u.): 3.984
Energy above the lowest structure with this stoichiometry (meV per atom): 456


## AcAl2GaCu4 (PBE)

Data for an optimized crystal structure of AcAl2GaCu4.

```
data_AcAl2GaCu4
_chemical_formula_sum 'Ac3 Al6 Ga3 Cu12'
_cell_length_a 4.2028
_cell_length_b 4.2028
_cell_length_c 27.5573
_cell_angle_alpha 90.00
_cell_angle_beta 90.00
_cell_angle_gamma 120.00
_symmetry_space_group_name_H-M 'R -3 m'
_symmetry_Int_Tables_number 166
_symmetry_space_group_name_Hall '-R 3 2"'
loop_
_atom_site_label
_atom_site_fract_x
_atom_site_fract_y
_atom_site_fract_z
Ac1 0.0000 0.0000 0.0000
Al1 0.0000 0.0000 0.2390
Ga1 0.0000 0.0000 0.5000
Cu1 0.0000 0.0000 0.1323
Cu2 0.0000 0.0000 0.4109
```


## DyErAgPd (PBE)

Data for an optimized crystal structure of DyErAgPd.

```
data_DyErAgPd
_chemical_formula_sum 'Dy1 Er1 Ag1 Pd1'
_cell_length_a 3.546
_cell_length_b 3.546
_cell_length_c 7.174
_cell_angle_alpha 90.00
_cell_angle_beta 90.00
_cell_angle_gamma 90.00
_symmetry_space_group_name_H-M 'P 4 m m'
_symmetry_Int_Tables_number 99
loop_
_symmetry_equiv_pos_as_xyz
'x,y,z'
'-y,x,z'
'-x,-y,z'
'y,-x,z'
'-x,y,z'
'y,x,z'
'x,-y,z'
'-y,-x,z'
loop_
_atom_site_label
_atom_site_fract_x
_atom_site_fract_y
_atom_site_fract_z
Dy1 0.000 0.000 0.000
Er1 0.000 0.000 0.479
Ag1 0.500 0.500 0.735
Pd1 0.500 0.500 0.244
```

Computed properties:
Energy above the lowest structure with this stoichiometry (meV per atom): 0


## CaMo2Pt (PBE)

Data for an optimized crystal structure of CaMo2Pt.

```
data_CaMo2Pt
_chemical_formula_sum 'Ca1 Mo2 Pt1'
_cell_length_a 3.823
_cell_length_b 3.823
_cell_length_c 4.927
_cell_angle_alpha 90.00
_cell_angle_beta 90.00
_cell_angle_gamma 90.00
_symmetry_space_group_name_H-M 'P 4/m m m'
_symmetry_Int_Tables_number 123
_symmetry_space_group_name_Hall '-P 4 2'
loop_
_atom_site_label
_atom_site_fract_x
_atom_site_fract_y
_atom_site_fract_z
Ca1 0.000 0.000 0.000
Mo1 0.000 0.500 0.500
Pt1 0.500 0.500 0.000
```

Computed properties:
Energy above the lowest structure with this stoichiometry (meV per atom): 206


## Ac4PrSn3 (PBE)

Data for an optimized crystal structure of Ac4PrSn3.

```
data_Ac4PrSn3
_chemical_formula_sum 'Ac8 Pr2 Sn6'
_cell_length_a 4.481
_cell_length_b 5.254
_cell_length_c 24.532
_cell_angle_alpha 90.00
_cell_angle_beta 90.00
_cell_angle_gamma 90.00
_symmetry_space_group_name_H-M 'I m m m'
_symmetry_Int_Tables_number 71
_symmetry_space_group_name_Hall '-I 2 2'
loop_
_atom_site_label
_atom_site_fract_x
_atom_site_fract_y
_atom_site_fract_z
Ac1 0.000 0.000 0.111
Ac2 0.000 0.500 0.263
Pr1 0.000 0.500 0.000
Sn1 0.000 0.000 0.356
Sn2 0.000 0.500 0.500
```


## CaN3F (PBE)

Data for an optimized crystal structure of CaN3F.

```
data_CaN3F
_chemical_formula_sum 'Ca1 N3 F1'
_cell_length_a 4.588
_cell_length_b 4.588
_cell_length_c 4.588
_cell_angle_alpha 90.00
_cell_angle_beta 90.00
_cell_angle_gamma 90.00
_symmetry_space_group_name_H-M 'P m -3 m'
_symmetry_Int_Tables_number 221
_symmetry_space_group_name_Hall '-P 4 2 3'
loop_
_atom_site_label
_atom_site_fract_x
_atom_site_fract_y
_atom_site_fract_z
Ca1 0.000 0.000 0.000
N1 0.000 0.000 0.500
F1 0.500 0.500 0.500
```

Computed properties:
Formation energy (no corrections) (eV/f.u.): 10.030


Number 1: VASP energy -40.62 eV per cell. Number 2: VASP energy -48.69 eV per cell. Number 3: VASP energy -53.21 eV per cell. Number 4: VASP energy -98.22 eV per cell. Number 5: VASP energy -19.67 eV per cell. Number 6: VASP energy -28.68 eV per cell. Number 7: VASP energy -73.11 eV per cell. Number 8: VASP energy -18.82 eV per cell.